The following is a DFT calculation (GGA+U) of a relaxed structure of AlVO4. Values from VASP.

## Properties
VASP energy ... -7.5022 eV per atom
Total magnetization ... 0.00 Bohr magnetons per cell

The structure in Quantum ESPRESSO input format:
```
&SYSTEM
  ibrav = 0, nat = 36, ntyp = 3
/
ATOMIC_SPECIES
Al 26.98 Al.upf
V 50.94 V.upf
O 16.00 O.upf
CELL_PARAMETERS angstrom
6.627 0.000 0.000
-1.565 7.690 0.000
-2.767 -1.572 8.715
ATOMIC_POSITIONS crystal
Al 0.037 0.193 0.493
Al 0.251 0.801 0.092
Al 0.461 0.381 0.710
Al 0.539 0.619 0.290
Al 0.749 0.199 0.908
Al 0.963 0.807 0.507
V 0.003 0.495 0.755
V 0.195 0.101 0.843
V 0.484 0.201 0.375
V 0.516 0.799 0.625
V 0.805 0.899 0.157
V 0.997 0.505 0.245
O 0.040 0.203 0.923
O 0.049 0.022 0.641
O 0.049 0.351 0.354
O 0.156 0.366 0.675
O 0.160 0.600 0.932
O 0.250 0.635 0.236
O 0.251 0.796 0.531
O 0.256 0.936 0.936
O 0.354 0.228 0.524
O 0.358 0.009 0.246
O 0.457 0.242 0.860
O 0.479 0.384 0.286
O 0.521 0.616 0.714
O 0.543 0.758 0.140
O 0.642 0.991 0.754
O 0.646 0.772 0.476
O 0.744 0.064 0.064
O 0.749 0.204 0.469
O 0.750 0.365 0.764
O 0.840 0.400 0.068
O 0.844 0.634 0.325
O 0.951 0.649 0.646
O 0.951 0.978 0.359
O 0.960 0.797 0.077
```